PrAsPd3 | PBE | optimized geometry

## Properties
* SG: No. 221
* energy of formation: -0.55 eV/atom
* D(E_F): 0.2385 states/eV per atom
* energy above the most stable polymorph in this dataset: 0 meV/atom
* energy: -55.55 eV per cell

a b c (Å): 6.722 6.722 6.722
angles (deg): 90.06 119.96 119.96
Fractional coordinates of all 10 atoms:
Pr 0.000 0.750 0.750
Pr 0.000 0.250 0.250
As 0.500 0.500 0.000
As 0.500 0.000 0.500
Pd 0.000 0.750 0.250
Pd 0.500 0.750 0.250
Pd 0.500 0.750 0.750
Pd 0.500 0.250 0.750
Pd 0.500 0.250 0.250
Pd 0.000 0.250 0.750